Computed, not measured: crystalline SmGa3CuPt at its relaxed geometry at the PBE level of DFT.

It has space group Cmcm (No. 63), with a = 5.8595 Å, b = 13.0540 Å, c = 5.9707 Å, α = 90.00°, β = 90.00° and γ = 90.00°. The distinct sites, in fractional coordinates, are Sm at (0.0000, 0.2005, 0.2500), Ga at (0.0000, 0.3564, 0.7500), Ga at (0.2141, 0.0000, 0.0000), Cu at (0.0000, 0.1491, 0.7500) and Pt at (0.0000, 0.4106, 0.2500).

The calculation puts the calculated total energy at -4.360 eV/atom. Its crystal system is orthorhombic. As for the total magnetic moment: 0.00 Bohr magnetons per cell. The density of states at the Fermi level comes out at 6.43 states/eV/cell.

Computed, not measured: crystalline AcNpNbN3 at its relaxed geometry at the PBE level of DFT.

It has space group P2_1/m (No. 11), with a = 7.5091 Å, b = 3.4550 Å, c = 8.3877 Å, α = 90.00°, β = 98.80° and γ = 90.00°. The distinct sites, in fractional coordinates, are Ac at (0.1630, 0.2500, 0.1912), Np at (0.3561, 0.7500, 0.8544), Nb at (0.1213, 0.2500, 0.5851), N at (0.1403, 0.2500, 0.8498), N at (0.1715, 0.7500, 0.4435) and N at (0.4260, 0.7500, 0.1120).

Its crystal system is monoclinic. As for the total magnetic moment: 6.82 Bohr magnetons per cell. The density of states at the Fermi level comes out at 17.53 states/eV/cell. Its uncorrected formation energy is -5.053 eV per formula unit.

Computed, not measured: crystalline CdOsBr2 at its relaxed geometry at the PBE level of DFT.

It has space group P4/mmm (No. 123), with a = 3.2599 Å, b = 3.2599 Å, c = 9.6637 Å, α = 90.00°, β = 90.00° and γ = 90.00°. The distinct sites, in fractional coordinates, are Cd at (0.0000, 0.0000, 0.0000), Os at (0.0000, 0.0000, 0.5000) and Br at (0.5000, 0.5000, 0.3216).

Its crystal system is tetragonal. As for the total magnetic moment: 3.36 Bohr magnetons per cell. The density of states at the Fermi level comes out at 2.50 states/eV/cell. Its uncorrected formation energy is 3.675 eV per formula unit.

Please write out number 3 again, unchanged.
Computed, not measured: crystalline CdOsBr2 at its relaxed geometry at the PBE level of DFT.

It has space group P4/mmm (No. 123), with a = 3.2599 Å, b = 3.2599 Å, c = 9.6637 Å, α = 90.00°, β = 90.00° and γ = 90.00°. The distinct sites, in fractional coordinates, are Cd at (0.0000, 0.0000, 0.0000), Os at (0.0000, 0.0000, 0.5000) and Br at (0.5000, 0.5000, 0.3216).

Its crystal system is tetragonal. As for the total magnetic moment: 3.36 Bohr magnetons per cell. The density of states at the Fermi level comes out at 2.50 states/eV/cell. Its uncorrected formation energy is 3.675 eV per formula unit.